Entry 1:
DFT (GGA-PBE) results for crystalline Na12P3F5 at its relaxed geometry.

Cell and atoms, written as POSCAR:
```
Na12P3F5
1.0
-12.044 -2.597 4.020
8.498 -6.421 7.385
2.217 12.735 0.939
P F Na
12 20 48
direct
0.750 0.375 0.125
0.875 0.750 0.125
0.375 0.750 0.625
0.250 0.125 0.375
0.875 0.125 0.250
0.375 0.625 0.250
0.625 0.375 0.750
0.125 0.875 0.750
0.750 0.875 0.625
0.625 0.250 0.375
0.125 0.250 0.875
0.250 0.625 0.875
0.125 0.375 0.250
0.000 0.500 0.000
0.000 0.000 0.000
0.375 0.250 0.125
0.500 0.000 0.500
0.500 0.500 0.000
0.125 0.750 0.375
0.750 0.125 0.875
0.750 0.625 0.375
0.375 0.125 0.750
0.625 0.875 0.250
0.500 0.500 0.500
0.500 0.000 0.000
0.000 0.000 0.500
0.250 0.375 0.625
0.250 0.875 0.125
0.000 0.500 0.500
0.875 0.250 0.625
0.625 0.750 0.875
0.875 0.625 0.750
0.709 0.124 0.029
0.320 0.529 0.405
0.971 0.376 0.291
0.529 0.209 0.124
0.585 0.709 0.680
0.971 0.595 0.180
0.320 0.791 0.415
0.095 0.915 0.124
0.595 0.971 0.680
0.709 0.585 0.180
0.791 0.471 0.376
0.820 0.905 0.029
0.124 0.709 0.529
0.376 0.405 0.085
0.085 0.905 0.376
0.415 0.124 0.595
0.085 0.180 0.209
0.471 0.680 0.095
0.820 0.915 0.291
0.124 0.415 0.095
0.376 0.971 0.791
0.595 0.624 0.415
0.905 0.820 0.529
0.791 0.320 0.915
0.405 0.376 0.585
0.095 0.180 0.471
0.209 0.680 0.085
0.180 0.085 0.709
0.624 0.029 0.209
0.876 0.585 0.905
0.529 0.320 0.905
0.585 0.876 0.405
0.915 0.820 0.791
0.915 0.095 0.624
0.876 0.291 0.471
0.180 0.095 0.971
0.624 0.595 0.915
0.405 0.029 0.320
0.291 0.415 0.820
0.209 0.529 0.624
0.905 0.085 0.876
0.680 0.209 0.585
0.471 0.791 0.876
0.029 0.405 0.820
0.415 0.291 0.320
0.029 0.624 0.709
0.680 0.471 0.595
0.291 0.876 0.971
```

Calculated values
Calculated volume   20.95 Å³/atom
D(E_F)   30.75 states/eV/cell
Crystal system   cubic
E_tot   -69.18 eV/f.u.

---

Entry 2:
DFT (GGA-PBE) results for crystalline Sc2TlAu at its relaxed geometry.

Cell and atoms, written as POSCAR:
```
Sc2TlAu
1.0
4.793 -0.007 0.001
3.505 3.269 0.001
1.335 0.525 5.906
Au Sc Tl
1 2 1
direct
0.250 0.250 0.250
0.990 0.990 0.022
0.510 0.510 0.478
0.750 0.750 0.750
```

Calculated values
Calculated volume   23.17 Å³/atom
Formation energy from the elements   -0.38 eV per atom
D(E_F)   2.76 states/eV/cell
Crystal system   monoclinic
E_tot   -19.81 eV/f.u.